Entry 1:
Compound: Sm2ScPaSe4
Source: the Alexandria database
Functional: GGA-PBE
Structure: relaxed

```
data_Sm2ScPaSe4
_cell_length_a 7.054
_cell_length_b 4.037
_cell_length_c 7.108
_cell_angle_alpha 90.00
_cell_angle_beta 108.86
_cell_angle_gamma 90.00
_space_group_name_H-M_alt 'P 1 2/m 1'
_space_group_IT_number 10
loop_
_space_group_symop_operation_xyz
'x,y,z'
'-x,-y,-z'
'-x,y,-z'
'x,-y,z'
loop_
_atom_site_label
_atom_site_type_symbol
_atom_site_fract_x
_atom_site_fract_y
_atom_site_fract_z
_atom_site_occupancy
Sm1 Sm 0.000 0.000 0.000 1
Sm2 Sm 0.000 0.500 0.500 1
Sc1 Sc 0.500 0.000 0.500 1
Pa1 Pa 0.500 0.500 0.000 1
Se1 Se 0.261 0.000 0.744 1
Se2 Se 0.268 0.500 0.264 1
```

Summary:
Magnetization in μB per atom: 0.037
Theoretical density in Mg/m³: 7.7
Calculated volume in Å³ per cell: 192

---

Entry 2:
Compound: TmS6F2
Source: the Alexandria database
Functional: GGA-PBE
Structure: relaxed

```
data_TmS6F2
_cell_length_a 3.479
_cell_length_b 8.170
_cell_length_c 8.695
_cell_angle_alpha 64.74
_cell_angle_beta 80.20
_cell_angle_gamma 87.90
_space_group_name_H-M_alt 'P -1'
_space_group_IT_number 2
loop_
_space_group_symop_operation_xyz
'x,y,z'
'-x,-y,-z'
loop_
_atom_site_label
_atom_site_type_symbol
_atom_site_fract_x
_atom_site_fract_y
_atom_site_fract_z
_atom_site_occupancy
Tm1 Tm 0.000 0.000 0.000 1
S1 S 0.069 0.715 0.763 1
S2 S 0.156 0.984 0.683 1
S3 S 0.173 0.642 0.576 1
F1 F 0.482 0.825 0.079 1
```

Summary:
Magnetization in μB per atom: 0.000
Theoretical density in Mg/m³: 3.0
Calculated volume in Å³ per cell: 220

---

Entry 3:
Compound: LiAgPdF5
Source: the Alexandria database
Functional: GGA-PBE
Structure: relaxed

```
data_LiAgPdF5
_cell_length_a 7.074
_cell_length_b 9.065
_cell_length_c 8.180
_cell_angle_alpha 90.00
_cell_angle_beta 114.37
_cell_angle_gamma 90.00
_space_group_name_H-M_alt 'C 1 2/c 1'
_space_group_IT_number 15
loop_
_space_group_symop_operation_xyz
'x,y,z'
'-x,-y,-z'
'-x,y,-z+1/2'
'x,-y,z+1/2'
'x+1/2,y+1/2,z'
'-x+1/2,-y+1/2,-z'
'-x+1/2,y+1/2,-z+1/2'
'x+1/2,-y+1/2,z+1/2'
loop_
_atom_site_label
_atom_site_type_symbol
_atom_site_fract_x
_atom_site_fract_y
_atom_site_fract_z
_atom_site_occupancy
Li1 Li 0.000 0.057 0.250 1
Ag1 Ag 0.000 0.424 0.250 1
Pd1 Pd 0.250 0.250 0.000 1
F1 F 0.000 0.314 0.750 1
F2 F 0.042 0.200 0.097 1
F3 F 0.245 0.048 0.899 1
```

Summary:
Magnetization in μB per atom: 0.000
Theoretical density in Mg/m³: 4.4
Calculated volume in Å³ per cell: 478

---

Entry 4:
Compound: Ho2ErThSb4
Source: the Alexandria database
Functional: GGA-PBE
Structure: relaxed

```
data_Ho2ErThSb4
_cell_length_a 7.616
_cell_length_b 4.410
_cell_length_c 7.621
_cell_angle_alpha 90.00
_cell_angle_beta 109.49
_cell_angle_gamma 90.00
_space_group_name_H-M_alt 'P 1 2/m 1'
_space_group_IT_number 10
loop_
_space_group_symop_operation_xyz
'x,y,z'
'-x,-y,-z'
'-x,y,-z'
'x,-y,z'
loop_
_atom_site_label
_atom_site_type_symbol
_atom_site_fract_x
_atom_site_fract_y
_atom_site_fract_z
_atom_site_occupancy
Ho1 Ho 0.000 0.000 0.000 1
Ho2 Ho 0.500 0.500 0.000 1
Er1 Er 0.000 0.500 0.500 1
Th1 Th 0.500 0.000 0.500 1
Sb1 Sb 0.243 0.500 0.243 1
Sb2 Sb 0.246 0.000 0.752 1
```

Summary:
Magnetization in μB per atom: 0.000
Theoretical density in Mg/m³: 8.4
Calculated volume in Å³ per cell: 241

---

Which raw formation energy belongs to each record? In order, -1578.2; -1184.4; -1655.0; -1066.1 meV per atom.